! PBE Tb4TlCd2, relaxed; values from VASP
! Relative energy among the computed polymorphs ... 0.0 meV per atom
&SYSTEM
  ibrav = 0, nat = 7, ntyp = 3
/
ATOMIC_SPECIES
Tb 158.93 Tb.upf
Tl 204.38 Tl.upf
Cd 112.41 Cd.upf
CELL_PARAMETERS angstrom
2.634 1.521 8.463
-2.634 1.521 8.463
0.000 -3.041 8.463
ATOMIC_POSITIONS crystal
Tb 0.116 0.116 0.116
Tb 0.370 0.370 0.370
Tb 0.630 0.630 0.630
Tb 0.884 0.884 0.884
Tl 0.500 0.500 0.500
Cd 0.247 0.247 0.247
Cd 0.753 0.753 0.753


Compound: InNiRh2
Source: the Alexandria database
Functional: PBE
Structure: relaxed Values from VASP.

```
&SYSTEM
  ibrav = 0, nat = 4, ntyp = 3
/
ATOMIC_SPECIES
In 114.82 In.upf
Ni 58.69 Ni.upf
Rh 102.91 Rh.upf
CELL_PARAMETERS angstrom
2.924 0.000 0.000
0.000 2.924 0.000
0.000 0.000 6.986
ATOMIC_POSITIONS crystal
In 0.000 0.000 0.000
Ni 0.500 0.500 0.252
Rh 0.000 0.000 0.472
Rh 0.500 0.500 0.724
```


Number 1: formation enthalpy at 0 K -0.155 eV per atom. Number 2: formation enthalpy at 0 K 0.002 eV per atom.